VASP calculation (PBE-GGA) on Ca2MgIr after structural relaxation.

Calculated values
The total energy is -3.5268 eV per atom. As for the energy of formation: 0.0879 eV per atom. As for the density of states at the Fermi level: 9.74 states/eV per cell.

a = 3.5049 Å, b = 3.5049 Å, c = 29.9631 Å
α = 90.00°, β = 90.00°, γ = 120.00°
Space group R-3m (No. 166, hexagonal axes)
Asymmetric unit:
1 Ca 0.0000 0.0000 0.2334 (multiplicity 6)
2 Mg 0.0000 0.0000 0.0000 (multiplicity 3)
3 Ir 0.0000 0.0000 0.5000 (multiplicity 3)